# 1
The following is a DFT calculation (PBE) of a relaxed LaThN2 crystal.

a = 3.698 Å, b = 3.698 Å, c = 6.438 Å
α = 73.31°, β = 73.31°, γ = 60.00°
Fractional positions:
La  0.000  0.000  0.000
Th  0.500  0.500  0.500
N  0.242  0.242  0.274
N  0.758  0.758  0.726

Output
Formation energy without anion corrections, kJ/mol of formula units: -583.0


# 2
The following is a DFT calculation (PBE) of a relaxed La5Th3N8 crystal.

a = 7.426 Å, b = 7.426 Å, c = 7.430 Å
α = 60.02°, β = 60.02°, γ = 60.00°
Fractional positions:
N  0.757  0.757  0.729
N  0.243  0.243  0.271
N  0.767  0.250  0.733
N  0.750  0.233  0.267
N  0.250  0.250  0.733
N  0.233  0.750  0.267
N  0.250  0.767  0.733
N  0.750  0.750  0.267
La  0.000  0.500  0.000
La  0.500  0.500  0.000
La  0.500  0.000  0.000
La  0.500  0.500  0.500
La  0.000  0.000  0.000
Th  0.000  0.000  0.500
Th  0.000  0.500  0.500
Th  0.500  0.000  0.500

Output
Formation energy without anion corrections, kJ/mol of formula units: -2280.5